Entry 1:
Density functional theory data (PBE-GGA) for PaAl2In after structural relaxation.

Cell: 3.5440 3.5440 6.9004 Å, 90.00 90.00 90.00°
With the nearest neighbours (Å) after each atom.
Fractional coordinates of all 4 atoms:
Pa: 0.0000 0.0000 0.0000  8 Al 3.15, 2 In 3.45
Al: 0.5000 0.5000 0.2762  4 In 2.94, 1 Al 3.09, 4 Pa 3.15
Al: 0.5000 0.5000 0.7238  4 In 2.94, 1 Al 3.09, 4 Pa 3.15
In: 0.0000 0.0000 0.5000  8 Al 2.94

Results
Total magnetization ... 0.00 μB per formula unit
ΔH_f (0 K) ... 0.038 eV/atom
V ... 86.7 Å³/cell
VASP energy ... -19.57 eV/cell



Entry 2:
Density functional theory data (PBE-GGA) for In3SbMo after structural relaxation.

Cell: 5.6652 5.6652 5.6652 Å, 90.00 90.00 90.00°
With the nearest neighbours (Å) after each atom.
Fractional coordinates of all 5 atoms:
In: 0.0000 0.0000 0.5000  2 Sb 2.83
In: 0.0000 0.5000 0.0000  2 Sb 2.83
In: 0.5000 0.0000 0.0000  2 Sb 2.83
Sb: 0.0000 0.0000 0.0000  6 In 2.83
Mo: 0.5000 0.5000 0.5000  12 In 4.01

Results
Total magnetization ... 4.78 μB per formula unit
Formation energy (no corrections) ... 1.30 eV/atom
V ... 181.8 Å³/cell
VASP energy ... -16.69 eV/cell



Entry 3:
Density functional theory data (PBE-GGA) for NiAs3Ru after structural relaxation.

Cell: 4.4988 4.4988 4.4988 Å, 90.00 90.00 90.00°
With the nearest neighbours (Å) after each atom.
Fractional coordinates of all 5 atoms:
Ni: 0.0000 0.0000 0.0000  6 As 2.25
As: 0.0000 0.0000 0.5000  2 Ni 2.25
As: 0.0000 0.5000 0.0000  2 Ni 2.25
As: 0.5000 0.0000 0.0000  2 Ni 2.25
Ru: 0.5000 0.5000 0.5000  12 As 3.18

Results
Total magnetization ... 0.00 μB per formula unit
ΔH_f (0 K) ... 0.744 eV/atom
V ... 91.1 Å³/cell
VASP energy ... -25.29 eV/cell



Entry 4:
Density functional theory data (PBE-GGA) for LiY2Tc2 after structural relaxation.

Cell: 7.0535 7.0535 4.3587 Å, 90.00 90.00 90.00°
With the nearest neighbours (Å) after each atom.
Fractional coordinates of all 10 atoms:
Li: 0.0000 0.0000 0.0000  4 Tc 2.83
Li: 0.5000 0.5000 0.0000  4 Tc 2.83
Y: 0.1774 0.3226 0.5000  6 Tc 3.00-3.04
Y: 0.3226 0.8226 0.5000  6 Tc 3.00-3.04
Y: 0.6774 0.1774 0.5000  6 Tc 3.00-3.04
Y: 0.8226 0.6774 0.5000  6 Tc 3.00-3.04
Tc: 0.1164 0.6164 0.0000  1 Tc 2.32
Tc: 0.3836 0.1164 0.0000  1 Tc 2.32
Tc: 0.6164 0.8836 0.0000  1 Tc 2.32
Tc: 0.8836 0.3836 0.0000  1 Tc 2.32

Results
Total magnetization ... 1.11 μB per formula unit
ΔH_f (0 K) ... 0.185 eV/atom
V ... 216.9 Å³/cell
VASP energy ... -69.30 eV/cell



Entry 5:
Density functional theory data (PBE-GGA) for LiMg2Zn3 after structural relaxation.

Cell: 7.3868 7.3868 6.2230 Å, 90.00 90.00 143.09°
With the nearest neighbours (Å) after each atom.
Fractional coordinates of all 12 atoms:
Li: 0.1620 0.8380 0.0000  8 Zn 2.71-2.73
Li: 0.8380 0.1620 0.0000  8 Zn 2.71-2.73
Mg: 0.1663 0.8337 0.5000  8 Zn 2.82-2.89, 2 Li 3.11
Mg: 0.5000 0.5000 0.0000  8 Zn 2.78-2.80, 2 Mg 3.11
Mg: 0.5000 0.5000 0.5000  8 Zn 2.84-2.96, 2 Mg 3.11
Mg: 0.8337 0.1663 0.5000  8 Zn 2.82-2.89, 2 Li 3.11
Zn: 0.0000 0.0000 0.2414  2 Li 2.72, 6 Mg 2.78-2.84, 1 Zn 3.00
Zn: 0.0000 0.0000 0.7586  2 Li 2.72, 6 Mg 2.78-2.84, 1 Zn 3.00
Zn: 0.3270 0.6730 0.2264  3 Li 2.71-2.73, 5 Mg 2.80-2.96, 1 Zn 2.82
Zn: 0.3270 0.6730 0.7736  3 Li 2.71-2.73, 5 Mg 2.80-2.96, 1 Zn 2.82
Zn: 0.6730 0.3270 0.2264  3 Li 2.71-2.73, 5 Mg 2.80-2.96, 1 Zn 2.82
Zn: 0.6730 0.3270 0.7736  3 Li 2.71-2.73, 5 Mg 2.80-2.96, 1 Zn 2.82

Results
Total magnetization ... 0.00 μB per formula unit
ΔH_f (0 K) ... -0.121 eV/atom
V ... 203.9 Å³/cell
VASP energy ... -19.31 eV/cell



Entry 6:
Density functional theory data (PBE-GGA) for SnGeAs2 after structural relaxation.

Cell: 7.3243 7.3243 7.3243 Å, 30.75 30.75 30.75°
With the nearest neighbours (Å) after each atom.
Fractional coordinates of all 4 atoms:
Sn: 0.0000 0.0000 0.0000  6 As 2.82-3.10
Ge: 0.8324 0.8324 0.8324  6 As 2.60-2.88
As: 0.2519 0.2519 0.2519  3 Sn 2.82, 3 Ge 2.88
As: 0.4357 0.4357 0.4357  3 Ge 2.60

Results
Total magnetization ... 0.00 μB per formula unit
ΔH_f (0 K) ... 0.078 eV/atom
V ... 91.1 Å³/cell
VASP energy ... -17.61 eV/cell